HfCrRh3 (GGA-PBE, relaxed); spin magnetization = 0.62 μB per formula unit; symmetry = Pm-3m, No. 221; theoretical density = 8613 kg/m3; DOS(E_F) = 6.9 states/eV/cell; energy of formation = 1306 meV per atom
1.0
4.702 0.000 0.000
0.000 4.702 0.000
0.000 0.000 4.702
Hf Cr Rh
1 1 3
direct
0.000 0.000 0.000 Hf
0.500 0.500 0.500 Cr
0.000 0.000 0.500 Rh
0.000 0.500 0.000 Rh
0.500 0.000 0.000 Rh